Pt5Rh4: PBEsol geometry, meta-GGA SCAN.

a = 6.0931 Å, b = 6.0931 Å, c = 6.0931 Å
α = 95.73°, β = 95.73°, γ = 143.18°
With the nearest neighbours (Å) after each atom.
Sites, in units of the cell vectors:
Pt1 0.0000 0.0000 0.0000  8 Pt 2.74, 4 Rh 2.78
Pt2 0.3317 0.3317 0.6635  6 Pt 2.70-2.75, 6 Rh 2.71-2.75
Pt3 0.3317 0.6683 0.0000  6 Pt 2.70-2.75, 6 Rh 2.71-2.75
Pt4 0.6683 0.3317 0.0000  6 Pt 2.70-2.75, 6 Rh 2.71-2.75
Pt5 0.6683 0.6683 0.3365  6 Pt 2.70-2.75, 6 Rh 2.71-2.75
Rh1 0.0000 0.3395 0.3395  5 Rh 2.62-2.67, 7 Pt 2.71-2.78
Rh2 0.0000 0.6605 0.6605  5 Rh 2.62-2.67, 7 Pt 2.71-2.78
Rh3 0.3395 0.0000 0.3395  5 Rh 2.62-2.67, 7 Pt 2.71-2.78
Rh4 0.6605 0.0000 0.6605  5 Rh 2.62-2.67, 7 Pt 2.71-2.78

The value obtained for the calculated formation energy is -18.2 meV/atom. The value obtained for the total energy is -54.02 eV/atom. As for the space-group type: No. 139.



Ru2PtRh: PBEsol geometry, meta-GGA SCAN.

a = 4.6514 Å, b = 2.6842 Å, c = 4.6611 Å
α = 90.00°, β = 109.40°, γ = 90.00°
With the nearest neighbours (Å) after each atom.
Sites, in units of the cell vectors:
Ru1 0.0000 0.0000 0.0000  6 Ru 2.68-2.69, 4 Pt 2.69, 2 Rh 2.69
Ru2 0.5000 0.5000 0.0000  6 Ru 2.68-2.69, 4 Rh 2.69, 2 Pt 2.69
Pt1 0.0000 0.5000 0.5000  2 Pt 2.68, 4 Rh 2.69, 6 Ru 2.69
Rh1 0.5000 0.0000 0.5000  2 Rh 2.68, 4 Pt 2.69, 6 Ru 2.69

The value obtained for the calculated formation energy is 48.3 meV/atom. For the energy relative to the lowest polymorph listed for this composition, the calculation gives 60 meV per atom. The value obtained for the total energy is -43.36 eV/atom. As for the space-group type: No. 10.



RuPt3Rh: PBEsol geometry, meta-GGA SCAN.

a = 4.6598 Å, b = 4.6598 Å, c = 4.6598 Å
α = 90.00°, β = 90.00°, γ = 90.00°
With the nearest neighbours (Å) after each atom.
Sites, in units of the cell vectors:
Ru1 0.0000 0.0000 0.0000  12 Pt 3.29
Pt1 0.0000 0.5000 0.5000  2 Rh 2.33
Pt2 0.5000 0.0000 0.5000  2 Rh 2.33
Pt3 0.5000 0.5000 0.0000  2 Rh 2.33
Rh1 0.5000 0.5000 0.5000  6 Pt 2.33

The value obtained for the calculated formation energy is 1837.1 meV/atom. The value obtained for the total energy is -54.00 eV/atom. As for the space-group type: No. 221.



Ru2PtRh: PBEsol geometry, meta-GGA SCAN.

a = 2.6696 Å, b = 3.8393 Å, c = 5.3548 Å
α = 90.00°, β = 90.00°, γ = 90.00°
With the nearest neighbours (Å) after each atom.
Sites, in units of the cell vectors:
Ru1 0.0000 0.0000 0.2433  4 Ru 2.61-2.75, 4 Rh 2.68, 4 Pt 2.71
Ru2 0.0000 0.0000 0.7567  4 Ru 2.61-2.75, 4 Rh 2.68, 4 Pt 2.71
Pt1 0.5000 0.5000 0.5000  2 Pt 2.67, 2 Rh 2.68, 8 Ru 2.71
Rh1 0.5000 0.5000 0.0000  2 Rh 2.67, 8 Ru 2.68, 2 Pt 2.68

The value obtained for the calculated formation energy is 43.2 meV/atom. For the energy relative to the lowest polymorph listed for this composition, the calculation gives 55 meV per atom. The value obtained for the total energy is -43.36 eV/atom. As for the space-group type: No. 47.



Ru2PtRh: PBEsol geometry, meta-GGA SCAN.

a = 8.9724 Å, b = 8.9724 Å, c = 8.9724 Å
α = 17.18°, β = 17.18°, γ = 17.18°
With the nearest neighbours (Å) after each atom.
Sites, in units of the cell vectors:
Ru1 0.2480 0.2480 0.2480  3 Rh 2.65, 6 Ru 2.68, 3 Pt 2.74
Ru2 0.7520 0.7520 0.7520  3 Rh 2.65, 6 Ru 2.68, 3 Pt 2.74
Pt1 0.0000 0.0000 0.0000  6 Pt 2.68, 6 Ru 2.74
Rh1 0.5000 0.5000 0.5000  6 Ru 2.65, 6 Rh 2.68

The value obtained for the calculated formation energy is 70.3 meV/atom. For the energy relative to the lowest polymorph listed for this composition, the calculation gives 82 meV per atom. The value obtained for the total energy is -43.33 eV/atom. As for the space-group type: No. 166.



Ru2PtRh: PBEsol geometry, meta-GGA SCAN.

a = 4.6799 Å, b = 4.6799 Å, c = 2.6733 Å
α = 90.00°, β = 90.00°, γ = 110.42°
With the nearest neighbours (Å) after each atom.
Sites, in units of the cell vectors:
Ru1 0.0000 0.5000 0.0000  4 Ru 2.67, 4 Rh 2.69, 4 Pt 2.69
Ru2 0.5000 0.0000 0.0000  4 Ru 2.67, 4 Rh 2.69, 4 Pt 2.69
Pt1 0.0000 0.0000 0.5000  2 Rh 2.67, 2 Pt 2.67, 8 Ru 2.69
Rh1 0.5000 0.5000 0.5000  2 Pt 2.67, 2 Rh 2.67, 8 Ru 2.69

The value obtained for the calculated formation energy is 47.4 meV/atom. For the energy relative to the lowest polymorph listed for this composition, the calculation gives 59 meV per atom. The value obtained for the total energy is -43.36 eV/atom. As for the space-group type: No. 65.



> Which formula does entry 1 have?

Pt5Rh4



Please write out number 4 again, unchanged.
Ru2PtRh: PBEsol geometry, meta-GGA SCAN.

a = 2.6696 Å, b = 3.8393 Å, c = 5.3548 Å
α = 90.00°, β = 90.00°, γ = 90.00°
With the nearest neighbours (Å) after each atom.
Sites, in units of the cell vectors:
Ru1 0.0000 0.0000 0.2433  4 Ru 2.61-2.75, 4 Rh 2.68, 4 Pt 2.71
Ru2 0.0000 0.0000 0.7567  4 Ru 2.61-2.75, 4 Rh 2.68, 4 Pt 2.71
Pt1 0.5000 0.5000 0.5000  2 Pt 2.67, 2 Rh 2.68, 8 Ru 2.71
Rh1 0.5000 0.5000 0.0000  2 Rh 2.67, 8 Ru 2.68, 2 Pt 2.68

The value obtained for the calculated formation energy is 43.2 meV/atom. For the energy relative to the lowest polymorph listed for this composition, the calculation gives 55 meV per atom. The value obtained for the total energy is -43.36 eV/atom. As for the space-group type: No. 47.